Entry 1:
PuNpHgSb: relaxed, PBE-GGA.

```
PuNpHgSb
1.0
0.0000 3.7559 3.7559
3.7559 0.0000 3.7559
3.7559 3.7559 0.0000
Pu Np Hg Sb
1 1 1 1
Direct
0.0000 0.0000 0.0000
0.5000 0.5000 0.5000
0.2500 0.2500 0.2500
0.7500 0.7500 0.7500
```

Results
Fermi-level density of states   3.368 states/eV per atom
Spin magnetization   11.6 μB/f.u.

Entry 2:
BeIrRh2S: relaxed, PBE-GGA.

```
BeIrRh2S
1.0
4.8426 0.0000 0.0000
0.0000 4.8426 0.0000
0.0000 0.0000 4.3109
Be Ir Rh S
1 1 2 1
Direct
0.0000 0.0000 0.0000
0.5000 0.5000 0.5000
0.0000 0.5000 0.5000
0.5000 0.0000 0.5000
0.5000 0.5000 0.0000
```

Results
Fermi-level density of states   1.189 states/eV per atom
Spin magnetization   0.0 μB/f.u.

Looking at formation energy (no corrections) for the records above, in order, we have -0.149; 1.361 eV/atom.